[1]
A PBEsol-optimized structure of ZnHg3Bi. Source: Alexandria via LeMat-Bulk, functional SCAN.

Summary:
**Formation energy from the elements**: 0.4082 eV/atom
**Total magnetic moment**: 0.00 μB per formula unit
**Space group**: Pm-3m
**Density of states at the Fermi level**: 2.48 states/eV/cell

Unit cell a=5.7668 b=5.7668 c=5.7668 alpha=90.00 beta=90.00 gamma=90.00
Fractional positions:
Zn 0.5000 0.5000 0.5000
Bi 0.0000 0.0000 0.0000
Hg 0.0000 0.5000 0.0000
Hg 0.0000 0.0000 0.5000
Hg 0.5000 0.0000 0.0000

---

[2]
A PBEsol-optimized structure of Cu3Mo2O10. Source: Alexandria via LeMat-Bulk, functional SCAN.

Summary:
**Total magnetic moment**: 1.00 μB per formula unit
**Space group**: P2_1/c
**Uncorrected formation energy**: -1.38 eV per atom

Unit cell a=5.6404 b=5.3780 c=13.5236 alpha=90.00 beta=90.00 gamma=93.70
Each line ends with the local moment (μB).
Fractional positions:
Cu 0.5000 0.5000 0.5000  0.07
Cu 0.0000 0.0000 0.0000  0.07
Cu 0.9607 0.3033 0.5732  0.31
Cu 0.4607 0.8033 0.9268  0.31
Cu 0.0393 0.6967 0.4268  0.31
Cu 0.5393 0.1967 0.0732  0.31
Mo 0.4257 0.9501 0.6541  0.01
Mo 0.9257 0.4501 0.8459  0.01
Mo 0.5743 0.0499 0.3459  0.01
Mo 0.0743 0.5499 0.1541  0.01
O 0.9564 0.4769 0.7198  0.01
O 0.4564 0.9769 0.7802  0.01
O 0.0436 0.5231 0.2802  0.01
O 0.5436 0.0231 0.2198  0.01
O 0.6574 0.1300 0.5937  0.02
O 0.1574 0.6300 0.9063  0.02
O 0.3426 0.8700 0.4063  0.02
O 0.8426 0.3700 0.0937  0.02
O 0.1474 0.0530 0.6153  0.01
O 0.6474 0.5530 0.8847  0.01
O 0.8526 0.9470 0.3847  0.01
O 0.3526 0.4470 0.1153  0.01
O 0.4439 0.6270 0.6238  0.01
O 0.9439 0.1270 0.8762  0.01
O 0.5561 0.3730 0.3762  0.01
O 0.0561 0.8730 0.1238  0.01
O 0.8175 0.5708 0.5182  0.09
O 0.3175 0.0708 0.9818  0.09
O 0.1825 0.4292 0.4818  0.09
O 0.6825 0.9292 0.0182  0.09

---

[3]
A PBEsol-optimized structure of CaSi2Se. Source: Alexandria via LeMat-Bulk, functional SCAN.

Summary:
**Total magnetic moment**: 0.00 μB per formula unit
**Space group**: Pm
**Density of states at the Fermi level**: 0.67 states/eV/cell
**Uncorrected formation energy**: -0.48 eV per atom

Unit cell a=3.8893 b=4.0766 c=6.2109 alpha=108.92 beta=90.00 gamma=90.00
Fractional positions:
Ca 0.0000 0.9527 0.5300
Si 0.0000 0.2107 0.0496
Si 0.5000 0.3197 0.2605
Se 0.5000 0.5169 0.6599

---

[4]
A PBEsol-optimized structure of BeTe2Se. Source: Alexandria via LeMat-Bulk, functional SCAN.

Summary:
**Total magnetic moment**: 0.00 μB per formula unit
**Space group**: I4/mmm
**Energy above the most stable polymorph in this dataset**: 45 meV per atom
**Density of states at the Fermi level**: 1.36 states/eV/cell
**Uncorrected formation energy**: 0.17 eV per atom

Unit cell a=4.9593 b=4.9593 c=4.9593 alpha=106.58 beta=110.94 gamma=110.94
Fractional positions:
Be 0.0000 0.5000 0.5000
Te 0.5000 0.5000 0.0000
Te 0.5000 0.0000 0.5000
Se 0.0000 0.0000 0.0000

---

[5]
A PBEsol-optimized structure of HgI2O. Source: Alexandria via LeMat-Bulk, functional SCAN.

Summary:
**Total magnetic moment**: 0.00 μB per formula unit
**Space group**: Fd-3m
**Density of states at the Fermi level**: 7.54 states/eV/cell
**Uncorrected formation energy**: 0.07 eV per atom

Unit cell a=7.2813 b=7.2813 c=7.2813 alpha=60.00 beta=60.00 gamma=60.00
Fractional positions:
I 0.1250 0.1250 0.6250
I 0.1250 0.1250 0.1250
I 0.6250 0.1250 0.1250
I 0.1250 0.6250 0.1250
Hg 0.7500 0.7500 0.7500
Hg 0.5000 0.5000 0.5000
O 0.2500 0.2500 0.2500
O 0.0000 0.0000 0.0000

---

[6]
A PBEsol-optimized structure of Ba2MoIr. Source: Alexandria via LeMat-Bulk, functional SCAN.

Summary:
**Formation energy from the elements**: 0.9633 eV/atom
**Total magnetic moment**: 4.24 μB per formula unit
**Space group**: P4/mmm
**Energy above the most stable polymorph in this dataset**: 638 meV per atom
**Density of states at the Fermi level**: 2.42 states/eV/cell

Unit cell a=3.9251 b=3.9251 c=7.0833 alpha=90.00 beta=90.00 gamma=90.00
Each line ends with the local moment (μB).
Fractional positions:
Ba 0.0000 0.0000 0.2693  0.05
Ba 0.0000 0.0000 0.7307  0.05
Ir 0.5000 0.5000 0.5000  0.34
Mo 0.5000 0.5000 0.0000  3.23

---

[7]
A PBEsol-optimized structure of K2CdPt. Source: Alexandria via LeMat-Bulk, functional SCAN.

Summary:
**Formation energy from the elements**: -0.1227 eV/atom
**Total magnetic moment**: 0.00 μB per formula unit
**Space group**: Amm2
**Energy above the most stable polymorph in this dataset**: 63 meV per atom
**Density of states at the Fermi level**: 0.99 states/eV/cell

Unit cell a=4.6499 b=4.8335 c=6.2995 alpha=112.56 beta=90.00 gamma=90.00
Fractional positions:
K 0.0000 0.1019 0.2037
K 0.5000 0.3952 0.7904
Pt 0.0000 0.8052 0.6105
Cd 0.5000 0.6983 0.3966

---

[8]
A PBEsol-optimized structure of Os3Se. Source: Alexandria via LeMat-Bulk, functional SCAN.

Summary:
**Total magnetic moment**: 0.00 μB per formula unit
**Space group**: I4/mmm
**Energy above the most stable polymorph in this dataset**: 162 meV per atom
**Density of states at the Fermi level**: 3.56 states/eV/cell
**Uncorrected formation energy**: 0.95 eV per atom

Unit cell a=3.9654 b=3.9654 c=4.6361 alpha=115.32 beta=115.32 gamma=90.00
Fractional positions:
Os 0.7500 0.2500 0.5000
Os 0.5000 0.5000 0.0000
Os 0.2500 0.7500 0.5000
Se 0.0000 0.0000 0.0000

---

Copy entry 6 word for word.
A PBEsol-optimized structure of Ba2MoIr. Source: Alexandria via LeMat-Bulk, functional SCAN.

Summary:
**Formation energy from the elements**: 0.9633 eV/atom
**Total magnetic moment**: 4.24 μB per formula unit
**Space group**: P4/mmm
**Energy above the most stable polymorph in this dataset**: 638 meV per atom
**Density of states at the Fermi level**: 2.42 states/eV/cell

Unit cell a=3.9251 b=3.9251 c=7.0833 alpha=90.00 beta=90.00 gamma=90.00
Each line ends with the local moment (μB).
Fractional positions:
Ba 0.0000 0.0000 0.2693  0.05
Ba 0.0000 0.0000 0.7307  0.05
Ir 0.5000 0.5000 0.5000  0.34
Mo 0.5000 0.5000 0.0000  3.23

---

Please write out number 3 again, unchanged.
A PBEsol-optimized structure of CaSi2Se. Source: Alexandria via LeMat-Bulk, functional SCAN.

Summary:
**Total magnetic moment**: 0.00 μB per formula unit
**Space group**: Pm
**Density of states at the Fermi level**: 0.67 states/eV/cell
**Uncorrected formation energy**: -0.48 eV per atom

Unit cell a=3.8893 b=4.0766 c=6.2109 alpha=108.92 beta=90.00 gamma=90.00
Fractional positions:
Ca 0.0000 0.9527 0.5300
Si 0.0000 0.2107 0.0496
Si 0.5000 0.3197 0.2605
Se 0.5000 0.5169 0.6599